No. 1
This record from Alexandria describes a geometry-optimized KMoRu2 structure. The functional is PBE.

## Properties
**Density of states at the Fermi level**: 1.19 states/eV per atom
**Energy above the most stable polymorph in this dataset**: 44.8 kJ per mole of atoms
**ΔH_f (0 K)**: 1.0771 eV per atom

a = 2.6945 Å, b = 5.1535 Å, c = 10.5661 Å
α = 90.00°, β = 90.00°, γ = 90.00°
With the nearest neighbours (Å) after each atom.
Space group Imm2 (No. 44)
Unique sites:
K  0.0000  0.0000  0.0000 (multiplicity 2)  2 K 2.69, 4 Ru 2.91
Mo  0.0000  0.5000  0.7920 (multiplicity 2)  2 Ru 2.67, 2 Mo 2.69
Ru  0.0000  0.0000  0.5106 (multiplicity 2)  4 Ru 2.56-2.69, 2 Mo 2.67
Ru  0.0000  0.5000  0.2163 (multiplicity 2)  4 Ru 2.56-2.69

No. 2
This record from Alexandria describes a geometry-optimized KMoRu2 structure. The functional is PBE.

## Properties
**Density of states at the Fermi level**: 1.39 states/eV per atom
**Energy above the most stable polymorph in this dataset**: 17.7 kJ per mole of atoms
**ΔH_f (0 K)**: 0.7962 eV per atom

a = 2.7319 Å, b = 3.7401 Å, c = 8.2993 Å
α = 90.00°, β = 90.00°, γ = 90.00°
With the nearest neighbours (Å) after each atom.
Space group Pmm2 (No. 25)
Unique sites:
K  0.0000  0.0000  0.0000 (multiplicity 1)  2 K 2.73
Mo  0.5000  0.5000  0.3643 (multiplicity 1)  5 Ru 2.57-2.71, 2 Mo 2.73
Ru  0.0000  0.0000  0.5336 (multiplicity 1)  6 Ru 2.59-2.73, 4 Mo 2.71
Ru  0.5000  0.5000  0.6744 (multiplicity 1)  1 Mo 2.57, 6 Ru 2.59-2.73

> density of states at the Fermi level of number 1 (KMoRu2)?

1.19 states/eV per atom

> Look up the ΔH_f (0 K) of the second one.

0.7962 eV per atom